[1]
The following is a GGA-PBE calculation of a relaxed BaOsPt crystal, from Alexandria via LeMat-Bulk.

```
BaOsPt
1.0
5.2767 0.0000 -0.0049
0.0000 4.5510 0.0000
-1.3499 0.0000 5.9601
Ba Pt Os
2 2 2
direct
0.2571 0.2500 0.0787 Ba
0.7429 0.7500 0.9213 Ba
0.5795 0.7500 0.4024 Pt
0.4205 0.2500 0.5976 Pt
0.8939 0.2500 0.4913 Os
0.1061 0.7500 0.5087 Os
```

The crystal system is monoclinic. The calculated density is 12.1 Mg/m³. The value obtained for the total energy is -6.438 eV per atom. The value obtained for the energy relative to the elements is -0.04 eV per atom. The symmetry is P2_1/m (11). The total moment comes out at 0.00 μB per cell.

---

[2]
The following is a GGA-PBE calculation of a relaxed YBeSN2 crystal, from Alexandria via LeMat-Bulk.

```
YBeSN2
1.0
4.3579 0.0000 0.0000
0.0000 4.3579 0.0000
0.0000 0.0000 5.4865
Be S Y N
1 1 1 2
direct
0.5000 0.5000 0.5000 Be
0.0000 0.0000 0.5000 S
0.0000 0.0000 0.0000 Y
0.5000 0.0000 0.0000 N
0.0000 0.5000 0.0000 N
```

The crystal system is tetragonal. The uncorrected formation energy is 5.896 eV per formula unit. The calculated density is 2.5 Mg/m³. The value obtained for the total energy is -5.015 eV per atom. The symmetry is P4/mmm (123). The total moment comes out at 3.20 μB per cell.

---

[3]
The following is a GGA-PBE calculation of a relaxed AlGeP crystal, from Alexandria via LeMat-Bulk.

```
AlGeP
1.0
-0.2250 -0.8188 5.5247
-3.9177 -0.6584 -0.2571
2.2786 -10.7779 -7.1204
Ge P Al
4 4 4
direct
0.5136 0.5000 0.2694 Ge
0.4340 0.5000 0.4392 Ge
0.5136 0.0000 0.7694 Ge
0.4340 0.0000 0.9392 Ge
0.1833 0.0000 0.4410 P
0.8402 0.0000 0.1030 P
0.8402 0.5000 0.6030 P
0.1833 0.5000 0.9410 P
0.7737 0.0000 0.2737 Al
0.0833 0.0000 0.6025 Al
0.0833 0.5000 0.1025 Al
0.7737 0.5000 0.7737 Al
```

The crystal system is monoclinic. The calculated density is 3.3 Mg/m³. The value obtained for the total energy is -4.803 eV per atom. The value obtained for the energy relative to the elements is -0.21 eV per atom. The symmetry is Cm (8). The total moment comes out at 0.00 μB per cell.

---

[4]
The following is a GGA-PBE calculation of a relaxed AcYHo4 crystal, from Alexandria via LeMat-Bulk.

```
AcYHo4
1.0
9.6500 0.6042 -3.4107
-0.3775 8.2938 -4.8217
-2.3838 -3.2389 7.7456
Y Ac Ho
2 2 8
direct
0.1943 0.2606 0.3531 Y
0.8057 0.7394 0.6469 Y
0.3201 0.3770 0.9556 Ac
0.6799 0.6230 0.0444 Ac
0.5691 0.2787 0.3509 Ho
0.0822 0.7543 0.1561 Ho
0.3839 0.8616 0.1457 Ho
0.4309 0.7213 0.6491 Ho
0.8842 0.1564 0.3438 Ho
0.1158 0.8436 0.6562 Ho
0.9178 0.2457 0.8439 Ho
0.6161 0.1384 0.8543 Ho
```

The crystal system is triclinic. The calculated density is 8.0 Mg/m³. The value obtained for the total energy is -4.695 eV per atom. The value obtained for the energy relative to the elements is 0.12 eV per atom. The symmetry is P-1 (2). The total moment comes out at 0.00 μB per cell.

---

[5]
The following is a GGA-PBE calculation of a relaxed Tb12PmHo6 crystal, from Alexandria via LeMat-Bulk.

```
Tb12PmHo6
1.0
9.2639 0.0000 0.0000
-3.0880 8.7341 0.0000
-3.0880 -4.3670 7.5639
Tb Ho Pm
12 6 1
direct
0.7378 0.9338 0.1960 Tb
0.9338 0.1960 0.7378 Tb
0.8040 0.7378 0.5418 Tb
0.0662 0.8040 0.2622 Tb
0.8040 0.2622 0.0662 Tb
0.7378 0.5418 0.8040 Tb
0.5418 0.8040 0.7378 Tb
0.1960 0.7378 0.9338 Tb
0.4582 0.1960 0.2622 Tb
0.2622 0.0662 0.8040 Tb
0.2622 0.4582 0.1960 Tb
0.1960 0.2622 0.4582 Tb
0.5000 0.1423 0.6423 Ho
0.1423 0.6423 0.5000 Ho
0.6423 0.5000 0.1423 Ho
0.8577 0.3577 0.5000 Ho
0.3577 0.5000 0.8577 Ho
0.5000 0.8577 0.3577 Ho
0.0000 0.0000 0.0000 Pm
```

The crystal system is cubic. The calculated density is 8.3 Mg/m³. The value obtained for the total energy is -4.385 eV per atom. The value obtained for the energy relative to the elements is 0.24 eV per atom. The symmetry is Im-3 (204). The total moment comes out at 0.00 μB per cell.

---

[6]
The following is a GGA-PBE calculation of a relaxed Tm12GePd6 crystal, from Alexandria via LeMat-Bulk.

```
Tm12GePd6
1.0
-4.7796 -0.4575 6.6831
3.5206 -7.4377 0.0572
6.1633 4.6923 2.7775
Pd Tm Ge
6 12 1
direct
0.3821 0.6829 0.8610 Pd
0.1390 0.6179 0.3171 Pd
0.3171 0.1390 0.6179 Pd
0.8610 0.3821 0.6829 Pd
0.6829 0.8610 0.3821 Pd
0.6179 0.3171 0.1390 Pd
0.5712 0.1738 0.4145 Tm
0.4145 0.5712 0.1738 Tm
0.0590 0.6735 0.9211 Tm
0.8262 0.5855 0.4288 Tm
0.1738 0.4145 0.5712 Tm
0.9410 0.3265 0.0789 Tm
0.0789 0.9410 0.3265 Tm
0.9211 0.0590 0.6735 Tm
0.6735 0.9211 0.0590 Tm
0.3265 0.0789 0.9410 Tm
0.5855 0.4288 0.8262 Tm
0.4288 0.8262 0.5855 Tm
0.0000 0.0000 0.0000 Ge
```

The crystal system is trigonal. The calculated density is 8.7 Mg/m³. The value obtained for the total energy is -5.250 eV per atom. The value obtained for the energy relative to the elements is -0.54 eV per atom. The symmetry is R-3 (148). The total moment comes out at 0.00 μB per cell.

---

[7]
The following is a GGA-PBE calculation of a relaxed Pm5ErSi4 crystal, from Alexandria via LeMat-Bulk.

```
Pm5ErSi4
1.0
-0.9881 2.7124 4.0993
-6.5228 0.8119 -2.1095
4.8905 -8.6133 3.8120
Pm Si Er
5 4 1
direct
0.5000 0.5000 0.0000 Pm
0.1659 0.3240 0.3318 Pm
0.8359 0.1705 0.6718 Pm
0.8341 0.6760 0.6682 Pm
0.1641 0.8295 0.3282 Pm
0.9918 0.7444 0.9836 Si
0.0082 0.2556 0.0164 Si
0.6750 0.1007 0.3500 Si
0.3250 0.8993 0.6500 Si
0.5000 0.0000 0.0000 Er
```

The crystal system is monoclinic. The uncorrected formation energy is -5.007 eV per formula unit. The calculated density is 6.2 Mg/m³. The value obtained for the total energy is -5.502 eV per atom. The symmetry is C2/m (12). The total moment comes out at 0.00 μB per cell.

---

[8]
The following is a GGA-PBE calculation of a relaxed Ac4CuBi2N2 crystal, from Alexandria via LeMat-Bulk.

```
Ac4CuBi2N2
1.0
4.0938 0.0000 0.0000
0.0000 8.2639 0.1616
-2.0469 -3.1241 8.1351
Bi N Ac Cu
2 2 4 1
direct
0.1309 0.5066 0.2618 Bi
0.8691 0.4934 0.7382 Bi
0.6730 0.9738 0.3459 N
0.3270 0.0262 0.6541 N
0.2136 0.1578 0.4273 Ac
0.4549 0.2449 0.9098 Ac
0.5451 0.7551 0.0902 Ac
0.7864 0.8422 0.5727 Ac
0.0000 0.0000 0.0000 Cu
```

The crystal system is monoclinic. The uncorrected formation energy is -7.090 eV per formula unit. The calculated density is 8.5 Mg/m³. The value obtained for the total energy is -5.781 eV per atom. The symmetry is C2/m (12). The total moment comes out at 0.00 μB per cell.